A plane-wave DFT calculation with PBE was carried out for crystalline KRbTlBi at its relaxed geometry.

Summary:
**ΔE_f**: -0.252 eV/atom
**Magnetization**: 0.00 μB/cell
**DOS at the Fermi energy**: 0.271 states/eV per atom
**DFT total energy**: -2.330 eV per atom

Cell and atoms, written as POSCAR:
```
KRbTlBi
1.0
8.5234 0.0000 0.0000
0.0000 8.5234 0.0000
0.0000 0.0000 8.5234
K Rb Tl Bi
4 4 4 4
Direct
0.0000 0.0000 0.0000
0.0000 0.5000 0.5000
0.5000 0.0000 0.5000
0.5000 0.5000 0.0000
0.2500 0.2500 0.2500
0.2500 0.7500 0.7500
0.7500 0.2500 0.7500
0.7500 0.7500 0.2500
0.0000 0.0000 0.5000
0.0000 0.5000 0.0000
0.5000 0.0000 0.0000
0.5000 0.5000 0.5000
0.2500 0.2500 0.7500
0.2500 0.7500 0.2500
0.7500 0.2500 0.2500
0.7500 0.7500 0.7500
```

---

A plane-wave DFT calculation with PBE was carried out for crystalline KRbTl2Bi at its relaxed geometry.

Summary:
**ΔE_f**: -0.155 eV/atom
**Magnetization**: 0.00 μB/cell
**DOS at the Fermi energy**: 0.556 states/eV per atom
**DFT total energy**: -2.291 eV per atom

Cell and atoms, written as POSCAR:
```
KRbTl2Bi
1.0
4.9193 0.0000 0.0000
0.0000 5.8911 0.0000
0.0000 0.0000 14.5113
K Rb Tl Bi
2 2 4 2
Direct
0.0000 0.0000 0.0000
0.5000 0.5000 0.5000
0.0000 0.5000 0.2618
0.5000 0.0000 0.7618
0.0000 0.0000 0.5230
0.0000 0.5000 0.6679
0.5000 0.0000 0.1679
0.5000 0.5000 0.0230
0.0000 0.5000 0.8761
0.5000 0.0000 0.3761
```

---

A plane-wave DFT calculation with PBE was carried out for crystalline K2RbTl2Bi2 at its relaxed geometry.

Summary:
**ΔE_f**: -0.233 eV/atom
**Magnetization**: 0.00 μB/cell
**DOS at the Fermi energy**: 0.459 states/eV per atom
**DFT total energy**: -2.470 eV per atom

Cell and atoms, written as POSCAR:
```
K2RbTl2Bi2
1.0
2.9432 1.6993 8.5434
-2.9432 1.6993 8.5434
0.0000 -3.3986 8.5434
K Rb Tl Bi
2 1 2 2
Direct
0.1467 0.1467 0.1467
0.8533 0.8533 0.8533
0.0000 0.0000 0.0000
0.2876 0.2876 0.2876
0.7124 0.7124 0.7124
0.4222 0.4222 0.4222
0.5778 0.5778 0.5778
```

---

A plane-wave DFT calculation with PBE was carried out for crystalline KRbTlBi2 at its relaxed geometry.

Summary:
**Energy above the most stable polymorph in this dataset**: 238 meV per atom
**ΔE_f**: 0.030 eV/atom
**Magnetization**: 0.00 μB/cell
**DOS at the Fermi energy**: 0.648 states/eV per atom
**DFT total energy**: -2.409 eV per atom

Cell and atoms, written as POSCAR:
```
KRbTlBi2
1.0
6.0977 0.0000 0.0000
0.0000 6.0977 0.0000
0.0000 0.0000 6.3045
K Rb Tl Bi
1 1 1 2
Direct
0.0000 0.0000 0.0000
0.5000 0.5000 0.0000
0.0000 0.0000 0.5000
0.0000 0.5000 0.5000
0.5000 0.0000 0.5000
```

---

A plane-wave DFT calculation with PBE was carried out for crystalline KRbZn2Bi at its relaxed geometry.

Summary:
**ΔE_f**: 0.637 eV/atom
**Magnetization**: 1.12 μB/cell
**DOS at the Fermi energy**: 0.661 states/eV per atom
**DFT total energy**: -1.062 eV per atom

Cell and atoms, written as POSCAR:
```
KRbZn2Bi
1.0
5.8948 0.0000 0.0000
0.0000 5.8948 0.0000
0.0000 0.0000 6.8944
K Rb Zn Bi
1 1 2 1
Direct
0.0000 0.0000 0.0000
0.0000 0.0000 0.5000
0.0000 0.5000 0.0000
0.5000 0.0000 0.0000
0.5000 0.5000 0.5000
```

---

A plane-wave DFT calculation with PBE was carried out for crystalline K2RbZnBi2 at its relaxed geometry.

Summary:
**ΔE_f**: -0.245 eV/atom
**Magnetization**: 0.00 μB/cell
**DOS at the Fermi energy**: 0.892 states/eV per atom
**DFT total energy**: -2.278 eV per atom

Cell and atoms, written as POSCAR:
```
K2RbZnBi2
1.0
-4.8831 7.1848 3.6818
4.8831 -7.1848 3.6818
4.8831 7.1848 -3.6818
K Rb Zn Bi
4 2 2 4
Direct
0.1788 0.1600 0.3389
0.3212 0.6600 0.9812
0.6788 0.3400 0.0188
0.8212 0.8400 0.6611
0.2500 0.7500 0.5000
0.7500 0.2500 0.5000
0.2500 0.2500 0.0000
0.7500 0.7500 0.0000
0.0879 0.8159 0.9039
0.4121 0.3159 0.7280
0.5879 0.6841 0.2720
0.9121 0.1841 0.0961
```

---

A plane-wave DFT calculation with PBE was carried out for crystalline K4Rb2ZnBi2 at its relaxed geometry.

Summary:
**ΔE_f**: -0.225 eV/atom
**Magnetization**: 0.00 μB/cell
**DOS at the Fermi energy**: 0.233 states/eV per atom
**DFT total energy**: -1.931 eV per atom

Cell and atoms, written as POSCAR:
```
K4Rb2ZnBi2
1.0
7.5362 -4.7279 0.0000
7.5362 4.7279 0.0000
-1.3037 0.0000 6.0419
K Rb Zn Bi
4 2 1 2
Direct
0.0917 0.6499 0.8030
0.3501 0.9083 0.1970
0.6499 0.0917 0.8030
0.9083 0.3501 0.1970
0.3602 0.3602 0.2903
0.6398 0.6398 0.7097
0.0000 0.0000 0.5000
0.1744 0.1744 0.7135
0.8256 0.8256 0.2865
```

---

A plane-wave DFT calculation with PBE was carried out for crystalline KRbZr2Bi at its relaxed geometry.

Summary:
**ΔE_f**: 1.702 eV/atom
**Magnetization**: 0.00 μB/cell
**DOS at the Fermi energy**: 1.469 states/eV per atom
**DFT total energy**: -2.906 eV per atom

Cell and atoms, written as POSCAR:
```
KRbZr2Bi
1.0
5.3010 0.0000 0.0000
0.0000 5.3010 0.0000
0.0000 0.0000 6.3000
K Rb Zr Bi
1 1 2 1
Direct
0.0000 0.0000 0.0000
0.5000 0.5000 0.5000
0.0000 0.5000 0.5000
0.5000 0.0000 0.5000
0.5000 0.5000 0.0000
```

---

A plane-wave DFT calculation with PBE was carried out for crystalline KRe3Bi at its relaxed geometry.

Summary:
**Energy above the most stable polymorph in this dataset**: 0 meV per atom
**ΔE_f**: 2.957 eV/atom
**Magnetization**: 4.72 μB/cell
**DOS at the Fermi energy**: 1.198 states/eV per atom
**DFT total energy**: -5.508 eV per atom

Cell and atoms, written as POSCAR:
```
KRe3Bi
1.0
5.1637 0.0000 0.0000
0.0000 5.1637 0.0000
0.0000 0.0000 5.1637
K Re Bi
1 3 1
Direct
0.0000 0.0000 0.0000
0.0000 0.5000 0.5000
0.5000 0.0000 0.5000
0.5000 0.5000 0.0000
0.5000 0.5000 0.5000
```

---

A plane-wave DFT calculation with PBE was carried out for crystalline K2ReBi at its relaxed geometry.

Summary:
**ΔE_f**: 0.954 eV/atom
**Magnetization**: 8.85 μB/cell
**DOS at the Fermi energy**: 1.916 states/eV per atom
**DFT total energy**: -3.677 eV per atom

Cell and atoms, written as POSCAR:
```
K2ReBi
1.0
13.2266 0.0000 0.0000
0.0000 13.2266 0.0000
0.0000 0.0000 5.2509
K Re Bi
8 4 4
Direct
0.0111 0.2500 0.1250
0.2500 0.5111 0.3750
0.2500 0.9889 0.8750
0.4889 0.2500 0.6250
0.5111 0.7500 0.6250
0.7500 0.0111 0.8750
0.7500 0.4889 0.3750
0.9889 0.7500 0.1250
0.0000 0.0000 0.0000
0.0000 0.5000 0.2500
0.5000 0.0000 0.7500
0.5000 0.5000 0.5000
0.0000 0.0000 0.5000
0.0000 0.5000 0.7500
0.5000 0.0000 0.2500
0.5000 0.5000 0.0000
```

---

A plane-wave DFT calculation with PBE was carried out for crystalline KRe3Bi at its relaxed geometry.

Summary:
**Energy above the most stable polymorph in this dataset**: 738 meV per atom
**ΔE_f**: 3.694 eV/atom
**Magnetization**: 2.68 μB/cell
**DOS at the Fermi energy**: 1.304 states/eV per atom
**DFT total energy**: -4.770 eV per atom

Cell and atoms, written as POSCAR:
```
KRe3Bi
1.0
4.7142 0.0000 0.0000
0.0000 4.7142 0.0000
0.0000 0.0000 4.7142
K Re Bi
1 3 1
Direct
0.0000 0.0000 0.0000
0.0000 0.0000 0.5000
0.0000 0.5000 0.0000
0.5000 0.0000 0.0000
0.5000 0.5000 0.5000
```

---

A plane-wave DFT calculation with PBE was carried out for crystalline KReBi2 at its relaxed geometry.

Summary:
**Energy above the most stable polymorph in this dataset**: 117 meV per atom
**ΔE_f**: 0.778 eV/atom
**Magnetization**: 0.00 μB/cell
**DOS at the Fermi energy**: 0.595 states/eV per atom
**DFT total energy**: -4.549 eV per atom

Cell and atoms, written as POSCAR:
```
KReBi2
1.0
7.2515 0.0000 0.0000
0.0000 7.2515 0.0000
0.0000 0.0000 7.2515
K Re Bi
4 4 8
Direct
0.0000 0.0000 0.0000
0.0000 0.5000 0.5000
0.5000 0.0000 0.5000
0.5000 0.5000 0.0000
0.0000 0.0000 0.5000
0.0000 0.5000 0.0000
0.5000 0.0000 0.0000
0.5000 0.5000 0.5000
0.2500 0.2500 0.2500
0.2500 0.2500 0.7500
0.2500 0.7500 0.2500
0.2500 0.7500 0.7500
0.7500 0.2500 0.2500
0.7500 0.2500 0.7500
0.7500 0.7500 0.2500
0.7500 0.7500 0.7500
```